Density functional theory data (PBE) for crystalline TcMo3As at its relaxed geometry.

```
TcMo3As
1.0
4.711 0.000 0.000
0.000 4.711 0.000
0.000 0.000 4.711
Mo As Tc
3 1 1
Direct
0.000 0.500 0.000
0.000 0.000 0.500
0.500 0.000 0.000
0.500 0.500 0.500
0.000 0.000 0.000
```

Calculated values
SG: Pm-3m, No. 221
Final energy, eV per cell: -39.40
Formation energy, eV/atom: 1.6208